(1)
Computed, not measured: Ho2ErTm5Mg after structural relaxation at the GGA-PBE level of DFT.

Density = 8.3 g/cm³
Formation energy from the elements = 113 meV/atom
Total magnetization = 0.00 μB per cell
Fermi-level density of states = 1.424 states/eV per atom
Final energy = -146.6 eV/cell

The structure in CIF format:
```
data_Ho2ErTm5Mg
_symmetry_space_group_name_H-M 'C m c 21'
_symmetry_Int_Tables_number 36
_cell_length_a 5.336
_cell_length_b 19.879
_cell_length_c 10.280
_cell_angle_alpha 90.00
_cell_angle_beta 90.00
_cell_angle_gamma 90.00
loop_
_symmetry_equiv_pos_as_xyz
'x,y,z'
'-x,-y,z+1/2'
'-x,y,z'
'x,-y,z+1/2'
'x+1/2,y+1/2,z'
'-x+1/2,-y+1/2,z+1/2'
'-x+1/2,y+1/2,z'
'x+1/2,-y+1/2,z+1/2'
loop_
_atom_site_label
_atom_site_fract_x
_atom_site_fract_y
_atom_site_fract_z
_atom_site_occupancy
Ho1 0.000 0.115 0.000 1
Ho2 0.000 0.115 0.426 1
Er1 0.000 0.206 0.713 1
Tm1 0.000 0.013 0.713 1
Tm2 0.000 0.289 0.013 1
Tm3 0.000 0.289 0.413 1
Tm4 0.000 0.382 0.713 1
Tm5 0.000 0.500 0.463 1
Mg1 0.000 0.405 0.214 1
```


(2)
Computed, not measured: Ho2ErTm4Mg after structural relaxation at the GGA-PBE level of DFT.

Density = 8.4 g/cm³
Formation energy from the elements = 23 meV/atom
Total magnetization = 0.00 μB per cell
Fermi-level density of states = 1.306 states/eV per atom
Final energy = -66.0 eV/cell

The structure in CIF format:
```
data_Ho2ErTm4Mg
_symmetry_space_group_name_H-M 'C 1 2/m 1'
_symmetry_Int_Tables_number 12
_cell_length_a 11.986
_cell_length_b 3.628
_cell_length_c 11.397
_cell_angle_alpha 90.00
_cell_angle_beta 107.20
_cell_angle_gamma 90.00
loop_
_symmetry_equiv_pos_as_xyz
'x,y,z'
'-x,-y,-z'
'-x,y,-z'
'x,-y,z'
'x+1/2,y+1/2,z'
'-x+1/2,-y+1/2,-z'
'-x+1/2,y+1/2,-z'
'x+1/2,-y+1/2,z'
loop_
_atom_site_label
_atom_site_fract_x
_atom_site_fract_y
_atom_site_fract_z
_atom_site_occupancy
Ho1 0.023 0.000 0.272 1
Er1 0.000 0.500 0.000 1
Tm1 0.219 0.000 0.610 1
Tm2 0.237 0.500 0.868 1
Mg1 0.000 0.500 0.500 1
```


(3)
Computed, not measured: Y2Ho3Er6Mg after structural relaxation at the GGA-PBE level of DFT.

Density = 7.7 g/cm³
Formation energy from the elements = 32 meV/atom
Total magnetization = 0.00 μB per cell
Fermi-level density of states = 1.507 states/eV per atom
Final energy = -110.5 eV/cell

The structure in CIF format:
```
data_Y2Ho3Er6Mg
_symmetry_space_group_name_H-M 'C 1 2/m 1'
_symmetry_Int_Tables_number 12
_cell_length_a 6.065
_cell_length_b 10.509
_cell_length_c 11.619
_cell_angle_alpha 90.00
_cell_angle_beta 100.09
_cell_angle_gamma 90.00
loop_
_symmetry_equiv_pos_as_xyz
'x,y,z'
'-x,-y,-z'
'-x,y,-z'
'x,-y,z'
'x+1/2,y+1/2,z'
'-x+1/2,-y+1/2,-z'
'-x+1/2,y+1/2,-z'
'x+1/2,-y+1/2,z'
loop_
_atom_site_label
_atom_site_fract_x
_atom_site_fract_y
_atom_site_fract_z
_atom_site_occupancy
Y1 0.000 0.166 0.000 1
Ho1 0.000 0.000 0.500 1
Ho2 0.000 0.334 0.500 1
Er1 0.249 0.334 0.250 1
Er2 0.250 0.000 0.251 1
Mg1 0.000 0.500 0.000 1
```


(4)
Computed, not measured: Y2Ho2ErMg2 after structural relaxation at the GGA-PBE level of DFT.

Density = 5.9 g/cm³
Formation energy from the elements = -8 meV/atom
Total magnetization = 0.00 μB per cell
Fermi-level density of states = 1.184 states/eV per atom
Final energy = -89.7 eV/cell

The structure in CIF format:
```
data_Y2Ho2ErMg2
_symmetry_space_group_name_H-M 'R -3 m'
_symmetry_Int_Tables_number 166
_symmetry_space_group_name_Hall '-R 3 2"'
_cell_length_a 5.4288
_cell_length_b 5.4288
_cell_length_c 23.8919
_cell_angle_alpha 90.00
_cell_angle_beta 90.00
_cell_angle_gamma 120.00
loop_
_atom_site_label
_atom_site_fract_x
_atom_site_fract_y
_atom_site_fract_z
_atom_site_occupancy
Y1 0.0000 0.0000 0.1544 1
Ho1 0.0000 0.0000 0.4261 1
Er1 0.0000 0.0000 0.0000 1
Mg1 0.0000 0.0000 0.2890 1
```


(5)
Computed, not measured: Y2HoEr4Mg after structural relaxation at the GGA-PBE level of DFT.

Density = 7.1 g/cm³
Formation energy from the elements = 27 meV/atom
Total magnetization = 0.00 μB per cell
Fermi-level density of states = 1.534 states/eV per atom
Final energy = -37.1 eV/cell

The structure in CIF format:
```
data_Y2HoEr4Mg
_symmetry_space_group_name_H-M 'P m m m'
_symmetry_Int_Tables_number 47
_cell_length_a 4.917
_cell_length_b 4.928
_cell_length_c 9.990
_cell_angle_alpha 90.00
_cell_angle_beta 90.00
_cell_angle_gamma 90.00
loop_
_symmetry_equiv_pos_as_xyz
'x,y,z'
'-x,-y,-z'
'-x,-y,z'
'x,y,-z'
'x,-y,-z'
'-x,y,z'
'-x,y,-z'
'x,-y,z'
loop_
_atom_site_label
_atom_site_fract_x
_atom_site_fract_y
_atom_site_fract_z
_atom_site_occupancy
Y1 0.000 0.000 0.000 1
Y2 0.500 0.500 0.500 1
Ho1 0.000 0.000 0.500 1
Er1 0.000 0.500 0.249 1
Er2 0.500 0.000 0.249 1
Mg1 0.500 0.500 0.000 1
```


(6)
Computed, not measured: Y2HoEr2Mg after structural relaxation at the GGA-PBE level of DFT.

Density = 5.4 g/cm³
Formation energy from the elements = 488 meV/atom
Total magnetization = 0.00 μB per cell
Fermi-level density of states = 1.360 states/eV per atom
Final energy = -50.6 eV/cell

The structure in CIF format:
```
data_Y2HoEr2Mg
_symmetry_space_group_name_H-M 'P n n m'
_symmetry_Int_Tables_number 58
_cell_length_a 10.353
_cell_length_b 11.591
_cell_length_c 3.603
_cell_angle_alpha 90.00
_cell_angle_beta 90.00
_cell_angle_gamma 90.00
loop_
_symmetry_equiv_pos_as_xyz
'x,y,z'
'-x,-y,-z'
'-x,-y,z'
'x,y,-z'
'x+1/2,-y+1/2,-z+1/2'
'-x+1/2,y+1/2,z+1/2'
'-x+1/2,y+1/2,-z+1/2'
'x+1/2,-y+1/2,z+1/2'
loop_
_atom_site_label
_atom_site_fract_x
_atom_site_fract_y
_atom_site_fract_z
_atom_site_occupancy
Y1 0.249 0.072 0.000 1
Ho1 0.000 0.500 0.000 1
Er1 0.085 0.275 0.500 1
Mg1 0.000 0.000 0.500 1
```